# 1
# BaLaRe, optimized geometry, DFT PBE
# **Size of the total moment**: 0.00 Bohr magnetons per cell
# **Energy**: -67.69 eV per cell
# **ΔE_f**: 792.1 meV per atom
# **Volume**: 31.45 A^3/atom
# **Distance to the lowest polymorph of the same formula**: 161 meV per atom
data_BaLaRe
_chemical_formula_sum 'Ba4 La4 Re4'
_cell_length_a 7.227
_cell_length_b 7.227
_cell_length_c 7.227
_cell_angle_alpha 90.00
_cell_angle_beta 90.00
_cell_angle_gamma 90.00
_space_group_name_H-M_alt 'F -4 3 m'
_space_group_IT_number 216
_space_group_name_Hall 'F -4 2 3'
loop_
_atom_site_label
_atom_site_fract_x
_atom_site_fract_y
_atom_site_fract_z
_atom_site_occupancy
Ba1 0.000 0.000 0.000 1
La1 0.000 0.000 0.500 1
Re1 0.250 0.250 0.750 1



# 2
# Mg6NbCo, optimized geometry, DFT PBE
# **Size of the total moment**: 1.38 Bohr magnetons per cell
# **Energy**: -49.75 eV per cell
# **ΔE_f**: 233.5 meV per atom
# **Volume**: 19.15 A^3/atom
# **Distance to the lowest polymorph of the same formula**: 61 meV per atom
data_Mg6NbCo
_chemical_formula_sum 'Mg12 Nb2 Co2'
_cell_length_a 4.818
_cell_length_b 5.789
_cell_length_c 10.989
_cell_angle_alpha 90.00
_cell_angle_beta 90.00
_cell_angle_gamma 90.00
_space_group_name_H-M_alt 'A m m 2'
_space_group_IT_number 38
loop_
_space_group_symop_operation_xyz
'x,y,z'
'-x,-y,z'
'-x,y,z'
'x,-y,z'
'x,y+1/2,z+1/2'
'-x,-y+1/2,z+1/2'
'-x,y+1/2,z+1/2'
'x,-y+1/2,z+1/2'
loop_
_atom_site_label
_atom_site_fract_x
_atom_site_fract_y
_atom_site_fract_z
_atom_site_occupancy
Mg1 0.000 0.000 0.000 1
Mg2 0.000 0.000 0.481 1
Mg3 0.000 0.250 0.258 1
Mg4 0.500 0.249 0.101 1
Nb1 0.500 0.000 0.853 1
Co1 0.500 0.000 0.339 1



# 3
# KZn3, optimized geometry, DFT PBE
# **Size of the total moment**: 0.00 Bohr magnetons per cell
# **Energy**: -3.67 eV per cell
# **ΔE_f**: 311.8 meV per atom
# **Volume**: 24.95 A^3/atom
# **Distance to the lowest polymorph of the same formula**: 342 meV per atom
data_KZn3
_chemical_formula_sum 'K1 Zn3'
_cell_length_a 4.639
_cell_length_b 4.639
_cell_length_c 4.639
_cell_angle_alpha 90.00
_cell_angle_beta 90.00
_cell_angle_gamma 90.00
_space_group_name_H-M_alt 'P m -3 m'
_space_group_IT_number 221
_space_group_name_Hall '-P 4 2 3'
loop_
_atom_site_label
_atom_site_fract_x
_atom_site_fract_y
_atom_site_fract_z
_atom_site_occupancy
K1 0.000 0.000 0.000 1
Zn1 0.000 0.500 0.500 1



# 4
# MgCd2BN, optimized geometry, DFT PBE
# **Size of the total moment**: 0.00 Bohr magnetons per cell
# **Energy**: -14.54 eV per cell
# **Volume**: 16.83 A^3/atom
# **Raw formation energy**: 0.777 eV/atom
data_MgCd2BN
_chemical_formula_sum 'Mg1 Cd2 B1 N1'
_cell_length_a 4.593
_cell_length_b 4.593
_cell_length_c 3.988
_cell_angle_alpha 90.00
_cell_angle_beta 90.00
_cell_angle_gamma 90.00
_space_group_name_H-M_alt 'P 4/m m m'
_space_group_IT_number 123
_space_group_name_Hall '-P 4 2'
loop_
_atom_site_label
_atom_site_fract_x
_atom_site_fract_y
_atom_site_fract_z
_atom_site_occupancy
Mg1 0.000 0.000 0.000 1
Cd1 0.000 0.500 0.500 1
B1 0.500 0.500 0.000 1
N1 0.000 0.000 0.500 1



# 5
# Li8BiSb3, optimized geometry, DFT PBE
# **Size of the total moment**: 0.00 Bohr magnetons per cell
# **Energy**: -75.66 eV per cell
# **Volume**: 21.04 A^3/atom
# **Raw formation energy**: -0.523 eV/atom
data_Li8BiSb3
_chemical_formula_sum 'Li16 Bi2 Sb6'
_cell_length_a 9.775
_cell_length_b 6.640
_cell_length_c 9.184
_cell_angle_alpha 90.00
_cell_angle_beta 122.08
_cell_angle_gamma 90.00
_space_group_name_H-M_alt 'C 1 2/m 1'
_space_group_IT_number 12
loop_
_space_group_symop_operation_xyz
'x,y,z'
'-x,-y,-z'
'-x,y,-z'
'x,-y,z'
'x+1/2,y+1/2,z'
'-x+1/2,-y+1/2,-z'
'-x+1/2,y+1/2,-z'
'x+1/2,-y+1/2,z'
loop_
_atom_site_label
_atom_site_fract_x
_atom_site_fract_y
_atom_site_fract_z
_atom_site_occupancy
Li1 0.146 0.000 0.299 1
Li2 0.155 0.247 0.810 1
Li3 0.160 0.500 0.313 1
Bi1 0.000 0.500 0.500 1
Sb1 0.000 0.000 0.500 1
Sb2 0.000 0.271 0.000 1



# 6
# Cs2SnIBr6, optimized geometry, DFT PBE
# **Size of the total moment**: 0.01 Bohr magnetons per cell
# **Energy**: -54.47 eV per cell
# **Volume**: 43.76 A^3/atom
# **Raw formation energy**: -0.994 eV/atom
data_Cs2SnIBr6
_chemical_formula_sum 'Cs4 Sn2 I2 Br12'
_cell_length_a 8.097
_cell_length_b 11.526
_cell_length_c 9.378
_cell_angle_alpha 90.00
_cell_angle_beta 90.00
_cell_angle_gamma 90.00
_space_group_name_H-M_alt 'P m m n'
_space_group_IT_number 59
loop_
_space_group_symop_operation_xyz
'x,y,z'
'-x,-y,-z'
'-x+1/2,-y+1/2,z'
'x+1/2,y+1/2,-z'
'x+1/2,-y,-z'
'-x+1/2,y,z'
'-x,y+1/2,-z'
'x,-y+1/2,z'
loop_
_atom_site_label
_atom_site_fract_x
_atom_site_fract_y
_atom_site_fract_z
_atom_site_occupancy
Cs1 0.250 0.014 0.211 1
Sn1 0.250 0.750 0.770 1
I1 0.250 0.250 0.729 1
Br1 0.015 0.750 0.573 1
Br2 0.020 0.750 0.979 1
Br3 0.250 0.514 0.777 1



# 7
# YTeP2, optimized geometry, DFT PBE
# **Size of the total moment**: 0.00 Bohr magnetons per cell
# **Energy**: -42.68 eV per cell
# **Volume**: 21.41 A^3/atom
# **Raw formation energy**: -0.229 eV/atom
data_YTeP2
_chemical_formula_sum 'Y2 Te2 P4'
_cell_length_a 4.223
_cell_length_b 4.223
_cell_length_c 9.604
_cell_angle_alpha 90.00
_cell_angle_beta 90.00
_cell_angle_gamma 90.00
_space_group_name_H-M_alt 'I 4/m m m'
_space_group_IT_number 139
_space_group_name_Hall '-I 4 2'
loop_
_atom_site_label
_atom_site_fract_x
_atom_site_fract_y
_atom_site_fract_z
_atom_site_occupancy
Y1 0.000 0.000 0.000 1
Te1 0.000 0.000 0.500 1
P1 0.000 0.500 0.250 1



# 8
# Er2PuTh, optimized geometry, DFT PBE
# **Size of the total moment**: 32.26 Bohr magnetons per cell
# **Energy**: -120.33 eV per cell
# **ΔE_f**: 198.7 meV per atom
# **Volume**: 30.09 A^3/atom
# **Distance to the lowest polymorph of the same formula**: 93 meV per atom
data_Er2PuTh
_chemical_formula_sum 'Er8 Pu4 Th4'
_cell_length_a 7.838
_cell_length_b 7.838
_cell_length_c 7.838
_cell_angle_alpha 90.00
_cell_angle_beta 90.00
_cell_angle_gamma 90.00
_space_group_name_H-M_alt 'F -4 3 m'
_space_group_IT_number 216
_space_group_name_Hall 'F -4 2 3'
loop_
_atom_site_label
_atom_site_fract_x
_atom_site_fract_y
_atom_site_fract_z
_atom_site_occupancy
Er1 0.000 0.000 0.000 1
Er2 0.250 0.250 0.250 1
Pu1 0.250 0.250 0.750 1
Th1 0.000 0.000 0.500 1